VASP calculation (PBE) on a geometry-optimized TcAgRu2 structure.

Cell: 7.053 7.053 5.456 Å, 90.00 90.00 90.00°
Sites, in units of the cell vectors:
Tc1 0.000 0.000 0.000
Tc2 0.000 0.500 0.250
Tc3 0.500 0.000 0.750
Tc4 0.500 0.500 0.500
Ag1 0.000 0.000 0.500
Ag2 0.000 0.500 0.750
Ag3 0.500 0.000 0.250
Ag4 0.500 0.500 0.000
Ru1 0.203 0.250 0.125
Ru2 0.250 0.703 0.375
Ru3 0.250 0.797 0.875
Ru4 0.297 0.250 0.625
Ru5 0.703 0.750 0.625
Ru6 0.750 0.203 0.875
Ru7 0.750 0.297 0.375
Ru8 0.797 0.750 0.125

ΔE to the lowest computed polymorph: 54.0 kJ per mole of atoms
N(E_F): 0.2223 states/eV per atom
Space group: I-42d (122)
Total DFT energy (no corrections): -7.19 eV/atom
ΔH_f (0 K): 3.0 eV/f.u.

VASP calculation (PBE) on a geometry-optimized Ce2PaCrN5 structure.

Cell: 6.435 6.435 5.700 Å, 90.00 90.00 90.00°
Sites, in units of the cell vectors:
Ce1 0.164 0.336 0.000
Ce2 0.336 0.836 0.000
Ce3 0.664 0.164 0.000
Ce4 0.836 0.664 0.000
Pa1 0.000 0.000 0.500
Pa2 0.500 0.500 0.500
Cr1 0.000 0.500 0.500
Cr2 0.500 0.000 0.500
N1 0.000 0.000 0.000
N2 0.155 0.655 0.279
N3 0.155 0.655 0.721
N4 0.345 0.155 0.279
N5 0.345 0.155 0.721
N6 0.500 0.500 0.000
N7 0.655 0.845 0.279
N8 0.655 0.845 0.721
N9 0.845 0.345 0.279
N10 0.845 0.345 0.721

Formation energy without anion corrections: -1.009 eV/atom
N(E_F): 0.6732 states/eV per atom
Space group: P4/mbm (127)
Total DFT energy (no corrections): -9.08 eV/atom

Which formula does entry 2 have?
Ce2PaCrN5